Record 1
! Tb3Ce2DyTe6 PBE relaxed; values from VASP
! - E (eV/atom) = -5.4323
! - space-group type = C2/m, No. 12
! - uncorrected formation energy (eV/f.u.) = -16.0
&SYSTEM
  ibrav = 0, nat = 12, ntyp = 4
/
ATOMIC_SPECIES
Tb 158.93 Tb.upf
Ce 140.12 Ce.upf
Dy 162.50 Dy.upf
Te 127.60 Te.upf
CELL_PARAMETERS angstrom
9.628 -2.189 0.000
9.628 2.189 0.000
-2.138 0.000 8.623
ATOMIC_POSITIONS angstrom
Tb 0.000 0.000 0.000
Tb 4.960 0.000 5.742
Tb 12.158 0.000 2.882
Ce 6.049 0.000 1.414
Ce 11.070 0.000 7.210
Dy -1.069 0.000 4.312
Te 2.966 0.000 0.772
Te 1.948 0.000 4.976
Te 7.981 0.000 6.444
Te 9.137 0.000 2.179
Te 15.171 0.000 3.648
Te 14.153 0.000 7.852

Record 2
! CrTc2Ir PBE relaxed; values from VASP
! - ΔH_f (0 K) (meV/atom) = -20.1
! - E (eV/atom) = -9.8242
! - energy above the lowest structure with this stoichiometry (meV per atom) = 30
! - space-group type = Cmmm, No. 65
&SYSTEM
  ibrav = 0, nat = 4, ntyp = 3
/
ATOMIC_SPECIES
Cr 52.00 Cr.upf
Tc 98.00 Tc.upf
Ir 192.22 Ir.upf
CELL_PARAMETERS angstrom
2.698 -3.852 0.000
2.698 3.852 0.000
0.000 0.000 2.696
ATOMIC_POSITIONS angstrom
Cr 0.000 0.000 0.000
Tc 1.349 1.926 1.348
Tc 1.349 -1.926 1.348
Ir 2.698 0.000 0.000

Record 3
! Li4SmY3S8 PBE relaxed; values from VASP
! - E (eV/atom) = -5.8879
! - space-group type = R-3m, No. 166
! - uncorrected formation energy (eV/f.u.) = -29.4
&SYSTEM
  ibrav = 0, nat = 16, ntyp = 4
/
ATOMIC_SPECIES
Li 6.94 Li.upf
Sm 150.36 Sm.upf
Y 88.91 Y.upf
S 32.06 S.upf
CELL_PARAMETERS angstrom
3.939 2.274 6.191
-3.939 2.274 6.191
0.000 -4.548 6.191
ATOMIC_POSITIONS angstrom
Li 0.000 0.000 0.000
Li -1.969 -1.137 6.191
Li -1.969 1.137 12.381
Li 0.000 2.274 6.191
Sm 0.000 0.000 9.286
Y -3.939 0.000 9.286
Y -1.969 1.137 3.095
Y 1.969 1.137 3.095
S -1.996 -1.152 10.848
S 0.000 -2.305 7.724
S -1.996 1.152 7.724
S 0.000 0.000 4.645
S 0.000 0.000 13.926
S 1.996 -1.152 10.848
S 0.000 2.305 10.848
S 1.996 1.152 7.724

Record 4
! CuH4 PBE relaxed; values from VASP
! - E (eV/atom) = -2.7120
! - space-group type = Pm-3m, No. 221
&SYSTEM
  ibrav = 0, nat = 5, ntyp = 2
/
ATOMIC_SPECIES
Cu 63.55 Cu.upf
H 1.01 H.upf
CELL_PARAMETERS angstrom
3.249 0.000 0.000
0.000 3.249 0.000
0.000 0.000 3.249
ATOMIC_POSITIONS angstrom
Cu 0.000 0.000 0.000
H 0.000 0.000 1.625
H 0.000 1.625 0.000
H 1.625 0.000 0.000
H 1.625 1.625 1.625

Record 5
! NdPHPd PBE relaxed; values from VASP
! - E (eV/atom) = -5.6296
! - space-group type = P-6m2, No. 187
&SYSTEM
  ibrav = 0, nat = 4, ntyp = 4
/
ATOMIC_SPECIES
Nd 144.24 Nd.upf
P 30.97 P.upf
H 1.01 H.upf
Pd 106.42 Pd.upf
CELL_PARAMETERS angstrom
4.267 0.000 0.000
-2.134 3.696 0.000
0.000 0.000 3.943
ATOMIC_POSITIONS angstrom
Nd 0.000 0.000 0.000
P 0.000 2.464 1.971
H 2.134 1.232 0.000
Pd 2.134 1.232 1.971

Record 6
! BaYP4 PBE relaxed; values from VASP
! - ΔH_f (0 K) (meV/atom) = -193.6
! - E (eV/atom) = -5.1980
! - space-group type = F-43m, No. 216
&SYSTEM
  ibrav = 0, nat = 6, ntyp = 3
/
ATOMIC_SPECIES
Ba 137.33 Ba.upf
Y 88.91 Y.upf
P 30.97 P.upf
CELL_PARAMETERS angstrom
0.000 3.952 3.952
3.952 0.000 3.952
3.952 3.952 0.000
ATOMIC_POSITIONS angstrom
Ba 0.000 0.000 0.000
Y 1.976 1.976 1.976
P 4.870 3.034 3.034
P 3.034 4.870 3.034
P 3.034 3.034 4.870
P 4.870 4.870 4.870

Record 7
! MnIn2Au PBE relaxed; values from VASP
! - ΔH_f (0 K) (meV/atom) = 94.2
! - E (eV/atom) = -4.3868
! - energy above the lowest structure with this stoichiometry (meV per atom) = 61
! - space-group type = P2/m, No. 10
&SYSTEM
  ibrav = 0, nat = 4, ntyp = 3
/
ATOMIC_SPECIES
Mn 54.94 Mn.upf
In 114.82 In.upf
Au 196.97 Au.upf
CELL_PARAMETERS angstrom
4.866 0.000 0.000
0.000 3.476 0.000
-1.689 0.000 4.811
ATOMIC_POSITIONS angstrom
Mn 0.000 0.000 0.000
In 1.589 0.000 2.406
In 2.433 1.738 0.000
Au -0.844 1.738 2.406

Record 8
! Mg2AgSe PBE relaxed; values from VASP
! - E (eV/atom) = -2.8773
! - space-group type = Cm, No. 8
! - uncorrected formation energy (eV/f.u.) = -2.0
&SYSTEM
  ibrav = 0, nat = 4, ntyp = 3
/
ATOMIC_SPECIES
Mg 24.30 Mg.upf
Ag 107.87 Ag.upf
Se 78.96 Se.upf
CELL_PARAMETERS angstrom
6.561 -1.873 0.000
6.561 1.873 0.000
-1.063 0.000 3.591
ATOMIC_POSITIONS angstrom
Mg 0.000 0.000 0.000
Mg 7.986 0.000 2.361
Ag 2.767 0.000 0.808
Se 5.368 0.000 1.600

Record 9
! NaPbF3 PBE relaxed; values from VASP
! - E (eV/atom) = -4.6484
! - energy above the lowest structure with this stoichiometry (meV per atom) = 0
! - space-group type = Cc, No. 9
! - uncorrected formation energy (eV/f.u.) = -12.6
&SYSTEM
  ibrav = 0, nat = 10, ntyp = 3
/
ATOMIC_SPECIES
Na 22.99 Na.upf
Pb 207.20 Pb.upf
F 19.00 F.upf
CELL_PARAMETERS angstrom
5.353 -3.084 0.000
5.353 3.084 0.000
-3.571 0.000 5.175
ATOMIC_POSITIONS angstrom
Na 3.567 1.543 2.587
Na 5.353 -1.543 0.000
Pb 7.139 1.542 0.775
Pb 5.353 -1.542 3.363
F -1.967 0.176 4.253
F -0.181 -0.176 1.665
F 2.171 0.528 4.255
F 3.957 -0.528 1.668
F 5.146 0.841 4.255
F 6.932 -0.841 1.667

Record 10
! CdInOs2 PBE relaxed; values from VASP
! - ΔH_f (0 K) (meV/atom) = 1201.1
! - E (eV/atom) = -5.3271
! - space-group type = I-42d, No. 122
&SYSTEM
  ibrav = 0, nat = 8, ntyp = 3
/
ATOMIC_SPECIES
Cd 112.41 Cd.upf
In 114.82 In.upf
Os 190.23 Os.upf
CELL_PARAMETERS angstrom
-3.788 3.788 2.639
3.788 -3.788 2.639
3.788 3.788 -2.639
ATOMIC_POSITIONS angstrom
Cd 0.000 0.000 0.000
Cd 0.000 3.788 1.319
In 3.788 0.000 1.319
In 0.000 0.000 2.639
Os 1.894 -1.834 1.979
Os 1.955 1.894 0.660
Os 1.894 5.622 -0.660
Os 1.834 1.894 3.299

Record 11
! InAg3Mo PBE relaxed; values from VASP
! - ΔH_f (0 K) (meV/atom) = 1322.0
! - E (eV/atom) = -3.1027
! - energy above the lowest structure with this stoichiometry (meV per atom) = 30
! - space-group type = Pm-3m, No. 221
&SYSTEM
  ibrav = 0, nat = 5, ntyp = 3
/
ATOMIC_SPECIES
In 114.82 In.upf
Ag 107.87 Ag.upf
Mo 95.94 Mo.upf
CELL_PARAMETERS angstrom
5.268 0.000 0.000
0.000 5.268 0.000
0.000 0.000 5.268
ATOMIC_POSITIONS angstrom
In 0.000 0.000 0.000
Ag 0.000 2.634 2.634
Ag 2.634 0.000 2.634
Ag 2.634 2.634 0.000
Mo 2.634 2.634 2.634

Record 12
! Sc3TlSe2 PBE relaxed; values from VASP
! - E (eV/atom) = -5.6557
! - space-group type = Cmcm, No. 63
! - uncorrected formation energy (eV/f.u.) = -5.6
&SYSTEM
  ibrav = 0, nat = 12, ntyp = 3
/
ATOMIC_SPECIES
Sc 44.96 Sc.upf
Tl 204.38 Tl.upf
Se 78.96 Se.upf
CELL_PARAMETERS angstrom
2.435 -6.004 0.000
2.435 6.004 0.000
0.000 0.000 9.118
ATOMIC_POSITIONS angstrom
Sc 2.435 4.495 6.838
Sc 2.435 1.581 4.981
Sc 2.435 1.581 8.696
Sc 2.435 -1.581 0.422
Sc 2.435 -1.581 4.137
Sc 2.435 -4.495 2.279
Tl 2.435 3.477 2.279
Tl 2.435 -3.477 6.838
Se 0.000 0.000 0.000
Se 0.000 0.000 4.559
Se 2.435 0.454 2.279
Se 2.435 -0.454 6.838

Record 13
! ZnB2PRh PBE relaxed; values from VASP
! - ΔH_f (0 K) (meV/atom) = 1204.6
! - E (eV/atom) = -4.2735
! - space-group type = P4/mmm, No. 123
&SYSTEM
  ibrav = 0, nat = 5, ntyp = 4
/
ATOMIC_SPECIES
Zn 65.41 Zn.upf
B 10.81 B.upf
P 30.97 P.upf
Rh 102.91 Rh.upf
CELL_PARAMETERS angstrom
3.769 0.000 0.000
0.000 3.769 0.000
0.000 0.000 4.718
ATOMIC_POSITIONS angstrom
Zn 0.000 0.000 0.000
B 0.000 1.885 2.359
B 1.885 0.000 2.359
P 0.000 0.000 2.359
Rh 1.885 1.885 0.000

Record 14
! LiTlAu2 PBE relaxed; values from VASP
! - ΔH_f (0 K) (meV/atom) = -223.5
! - E (eV/atom) = -2.9322
! - space-group type = F-43m, No. 216
&SYSTEM
  ibrav = 0, nat = 4, ntyp = 3
/
ATOMIC_SPECIES
Li 6.94 Li.upf
Tl 204.38 Tl.upf
Au 196.97 Au.upf
CELL_PARAMETERS angstrom
0.000 3.379 3.379
3.379 0.000 3.379
3.379 3.379 0.000
ATOMIC_POSITIONS angstrom
Li 0.000 0.000 0.000
Tl 1.689 1.689 1.689
Au 3.379 3.379 3.379
Au 5.068 5.068 5.068

Record 15
! NdPuPtI PBE relaxed; values from VASP
! - E (eV/atom) = -7.5790
! - space-group type = R3m, No. 160
! - uncorrected formation energy (eV/f.u.) = -3.6
&SYSTEM
  ibrav = 0, nat = 4, ntyp = 4
/
ATOMIC_SPECIES
Nd 144.24 Nd.upf
Pu 244.00 Pu.upf
Pt 195.08 Pt.upf
I 126.90 I.upf
CELL_PARAMETERS angstrom
2.095 1.209 8.114
-2.095 1.209 8.114
0.000 -2.419 8.114
ATOMIC_POSITIONS angstrom
Nd 0.000 0.000 0.000
Pu 0.000 0.000 5.006
Pt 0.000 0.000 14.635
I 0.000 0.000 18.746

Record 16
! La2Pm6Th3 PBE relaxed; values from VASP
! - ΔH_f (0 K) (meV/atom) = 158.3
! - E (eV/atom) = -5.3524
! - space-group type = C2/m, No. 12
&SYSTEM
  ibrav = 0, nat = 11, ntyp = 3
/
ATOMIC_SPECIES
La 138.91 La.upf
Pm 145.00 Pm.upf
Th 232.04 Th.upf
CELL_PARAMETERS angstrom
3.053 -5.611 0.000
3.053 5.611 0.000
-1.459 0.000 11.450
ATOMIC_POSITIONS angstrom
La 3.053 4.008 0.000
La 3.053 -4.008 0.000
Pm 0.229 0.000 3.060
Pm 1.396 1.800 8.674
Pm 3.251 1.800 2.776
Pm 1.396 -1.800 8.674
Pm 3.251 -1.800 2.776
Pm 4.417 0.000 8.390
Th 2.323 3.686 5.725
Th 2.323 0.000 5.725
Th 2.323 -3.686 5.725

Record 17
! La3CeHo8 PBE relaxed; values from VASP
! - ΔH_f (0 K) (meV/atom) = 578.3
! - E (eV/atom) = -4.1999
! - space-group type = I-42m, No. 121
&SYSTEM
  ibrav = 0, nat = 12, ntyp = 3
/
ATOMIC_SPECIES
La 138.91 La.upf
Ce 140.12 Ce.upf
Ho 164.93 Ho.upf
CELL_PARAMETERS angstrom
-4.401 4.401 5.635
4.401 -4.401 5.635
4.401 4.401 -5.635
ATOMIC_POSITIONS angstrom
La 0.000 0.000 0.000
La 4.401 0.000 2.818
La 0.000 4.401 2.818
Ce 0.000 0.000 5.635
Ho 1.085 -1.085 2.993
Ho 2.381 2.381 -0.375
Ho 2.020 -2.020 6.010
Ho -1.085 1.085 2.993
Ho 3.316 3.316 2.642
Ho 2.020 2.020 5.260
Ho -2.020 2.020 6.010
Ho 1.085 1.085 8.277

Record 18
! TaInNO2 PBE relaxed; values from VASP
! - E (eV/atom) = -6.1408
! - space-group type = P4/mmm, No. 123
! - uncorrected formation energy (eV/f.u.) = 2.1
&SYSTEM
  ibrav = 0, nat = 5, ntyp = 4
/
ATOMIC_SPECIES
Ta 180.95 Ta.upf
In 114.82 In.upf
N 14.01 N.upf
O 16.00 O.upf
CELL_PARAMETERS angstrom
4.016 0.000 0.000
0.000 4.016 0.000
0.000 0.000 4.243
ATOMIC_POSITIONS angstrom
Ta 0.000 0.000 0.000
In 2.008 2.008 2.122
N 2.008 2.008 0.000
O 0.000 2.008 2.122
O 2.008 0.000 2.122

Record 19
! MgZr2Ir3 PBE relaxed; values from VASP
! - ΔH_f (0 K) (meV/atom) = -743.4
! - E (eV/atom) = -8.2891
! - space-group type = Cmmm, No. 65
&SYSTEM
  ibrav = 0, nat = 6, ntyp = 3
/
ATOMIC_SPECIES
Mg 24.30 Mg.upf
Zr 91.22 Zr.upf
Ir 192.22 Ir.upf
CELL_PARAMETERS angstrom
2.208 -6.613 0.000
2.208 6.613 0.000
0.000 0.000 3.542
ATOMIC_POSITIONS angstrom
Mg 0.000 0.000 0.000
Zr 2.208 2.125 0.000
Zr 2.208 -2.125 0.000
Ir 2.208 4.379 1.771
Ir 2.208 0.000 1.771
Ir 2.208 -4.379 1.771

Record 20
! SrErIn PBE relaxed; values from VASP
! - ΔH_f (0 K) (meV/atom) = -200.6
! - E (eV/atom) = -3.1950
! - energy above the lowest structure with this stoichiometry (meV per atom) = 104
! - space-group type = I4mm, No. 107
&SYSTEM
  ibrav = 0, nat = 3, ntyp = 3
/
ATOMIC_SPECIES
Sr 87.62 Sr.upf
Er 167.26 Er.upf
In 114.82 In.upf
CELL_PARAMETERS angstrom
-1.927 1.927 6.846
1.927 -1.927 6.846
1.927 1.927 -6.846
ATOMIC_POSITIONS angstrom
Sr 0.000 0.000 0.000
Er 0.000 0.000 3.902
In 0.000 0.000 9.126